{
  "formula": "Rb2TbPuO6",
  "functional": "GGA-PBE",
  "state": "optimized geometry",
  "lattice_angstrom": [[-3.516, -4.786, 1.537], [2.322, 0.117, 5.677], [-6.305, 5.425, 2.467]],
  "species": ["O", "O", "O", "O", "O", "O", "O", "O", "O", "O", "O", "O", "Tb", "Tb", "Rb", "Rb", "Rb", "Rb", "Pu", "Pu"],
  "fractional_positions": [[0.266, 0.484, 0.500], [0.234, 0.516, 0.000], [0.766, 0.984, 0.000], [0.734, 0.484, 0.500], [0.500, 0.250, 0.266], [0.734, 0.016, 0.500], [0.234, 0.984, 0.000], [0.500, 0.250, 0.734], [0.266, 0.016, 0.500], [0.766, 0.516, 0.000], [0.000, 0.750, 0.766], [0.000, 0.750, 0.234], [0.500, 0.250, 0.000], [0.000, 0.750, 0.500], [0.000, 0.250, 0.750], [0.500, 0.750, 0.750], [0.000, 0.250, 0.250], [0.500, 0.750, 0.250], [0.000, 0.750, 0.000], [0.500, 0.250, 0.500]],
  "formation_energy_uncorrected_ev_per_atom": -2.53,
  "vol_a3_per_atom": 16.326
}

=====

{
  "formula": "Rb2Tb2PuO6",
  "functional": "GGA-PBE",
  "state": "optimized geometry",
  "lattice_angstrom": [[6.063, -0.017, 0.060], [-3.011, 5.263, 0.060], [-1.084, -1.863, 6.647]],
  "species": ["O", "O", "O", "O", "O", "O", "Tb", "Tb", "Rb", "Rb", "Pu"],
  "fractional_positions": [[0.380, 0.049, 0.665], [0.951, 0.620, 0.335], [0.049, 0.380, 0.665], [0.737, 0.737, 0.664], [0.620, 0.951, 0.335], [0.263, 0.263, 0.336], [0.666, 0.334, 0.500], [0.334, 0.666, 0.500], [0.168, 0.832, 0.000], [0.832, 0.168, 0.000], [0.000, 0.000, 0.500]],
  "formation_energy_uncorrected_ev_per_atom": -2.79,
  "vol_a3_per_atom": 19.374
}

=====

{
  "formula": "Rb2TbPu3O12",
  "functional": "GGA-PBE",
  "state": "optimized geometry",
  "lattice_angstrom": [[-4.342, 0.678, -6.368], [-1.969, -6.472, -3.754], [-7.374, -2.310, 0.375]],
  "species": ["O", "O", "O", "O", "O", "O", "O", "O", "O", "O", "O", "O", "Pu", "Pu", "Pu", "Tb", "Rb", "Rb"],
  "fractional_positions": [[0.932, 0.309, 0.309], [0.925, 0.925, 0.344], [0.309, 0.932, 0.309], [0.344, 0.925, 0.925], [0.691, 0.068, 0.691], [0.075, 0.656, 0.075], [0.068, 0.691, 0.691], [0.925, 0.344, 0.925], [0.691, 0.691, 0.068], [0.075, 0.075, 0.656], [0.656, 0.075, 0.075], [0.309, 0.309, 0.932], [0.000, 0.000, 0.500], [0.500, 0.000, 0.000], [0.000, 0.500, 0.000], [0.000, 0.000, 0.000], [0.629, 0.629, 0.629], [0.371, 0.371, 0.371]],
  "formation_energy_uncorrected_ev_per_atom": -2.55,
  "vol_a3_per_atom": 19.023
}

=====

{
  "formula": "Rb4Tb3PuO8",
  "functional": "GGA-PBE",
  "state": "optimized geometry",
  "lattice_angstrom": [[-5.674, -2.978, -3.081], [-0.548, -5.027, 5.868], [-0.058, 6.923, 1.618]],
  "species": ["Rb", "Rb", "Rb", "Rb", "O", "O", "O", "O", "O", "O", "O", "O", "Pu", "Tb", "Tb", "Tb"],
  "fractional_positions": [[0.500, 0.000, 0.500], [0.000, 0.000, 0.000], [0.000, 0.000, 0.500], [0.500, 0.000, 0.000], [0.278, 0.324, 0.051], [0.773, 0.324, 0.051], [0.725, 0.676, 0.451], [0.275, 0.324, 0.549], [0.227, 0.676, 0.949], [0.773, 0.324, 0.546], [0.722, 0.676, 0.949], [0.227, 0.676, 0.454], [0.000, 0.500, 0.000], [0.500, 0.500, 0.000], [0.500, 0.500, 0.500], [0.000, 0.500, 0.500]],
  "formation_energy_uncorrected_ev_per_atom": -2.58,
  "vol_a3_per_atom": 17.975
}

=====

{
  "formula": "Rb3Tb3PuO8",
  "functional": "GGA-PBE",
  "state": "optimized geometry",
  "lattice_angstrom": [[-2.654, 4.525, -4.672], [3.172, -5.868, -2.203], [-7.050, -0.812, 3.218]],
  "species": ["Pu", "O", "O", "O", "O", "O", "O", "O", "O", "Rb", "Rb", "Rb", "Tb", "Tb", "Tb"],
  "fractional_positions": [[0.000, 0.000, 0.500], [0.216, 0.950, 0.666], [0.276, 0.553, 0.329], [0.784, 0.050, 0.334], [0.734, 0.950, 0.666], [0.724, 0.447, 0.671], [0.266, 0.050, 0.334], [0.216, 0.433, 0.666], [0.784, 0.567, 0.334], [0.000, 0.500, 0.000], [0.500, 0.500, 0.000], [0.000, 0.000, 0.000], [0.500, 0.500, 0.500], [0.500, 0.000, 0.500], [0.000, 0.500, 0.500]],
  "formation_energy_uncorrected_ev_per_atom": -2.77,
  "vol_a3_per_atom": 18.954
}

=====

{
  "formula": "Rb2PuTc3O12",
  "functional": "GGA-PBE",
  "state": "optimized geometry",
  "lattice_angstrom": [[-6.910, -2.281, -1.780], [-1.499, -7.176, -1.540], [-4.056, -4.255, 4.643]],
  "species": ["O", "O", "O", "O", "O", "O", "O", "O", "O", "O", "O", "O", "Tc", "Tc", "Tc", "Rb", "Rb", "Pu"],
  "fractional_positions": [[0.304, 0.933, 0.304], [0.304, 0.304, 0.933], [0.927, 0.927, 0.333], [0.696, 0.696, 0.067], [0.073, 0.073, 0.667], [0.933, 0.304, 0.304], [0.696, 0.067, 0.696], [0.927, 0.333, 0.927], [0.073, 0.667, 0.073], [0.667, 0.073, 0.073], [0.333, 0.927, 0.927], [0.067, 0.696, 0.696], [0.500, 0.000, 0.000], [0.000, 0.500, 0.000], [0.000, 0.000, 0.500], [0.378, 0.378, 0.378], [0.622, 0.622, 0.622], [0.000, 0.000, 0.000]],
  "formation_energy_uncorrected_ev_per_atom": -1.75,
  "vol_a3_per_atom": 15.880
}

=====

Quick rundown of mass density, same order as above: 6.8; 6.5; 6.1; 6.9; 6.5; 5.2 g/cm3